1.
Compound: Sc3Br4Cl2
Source: Alexandria via LeMat-Bulk
Functional: PBE
Structure: relaxed

abc: 3.637 3.637 22.226
angles: 90.00 90.00 120.00
Sites, in units of the cell vectors:
1 Sc 0.000 0.000 0.323
2 Sc 0.000 0.000 0.677
3 Sc 0.667 0.333 0.000
4 Br 0.667 0.333 0.402
5 Br 0.667 0.333 0.757
6 Br 0.667 0.333 0.243
7 Br 0.667 0.333 0.598
8 Cl 0.000 0.000 0.928
9 Cl 0.000 0.000 0.072

**Formation energy without anion corrections**: -1.648 eV/atom
**Symmetry**: P-6m2
**Total magnetization**: 0.331 μB/atom

2.
Compound: ScBrCl2
Source: Alexandria via LeMat-Bulk
Functional: PBE
Structure: relaxed

abc: 3.708 5.313 7.252
angles: 88.39 75.21 90.00
Sites, in units of the cell vectors:
1 Sc 0.000 0.000 0.000
2 Br 0.000 0.500 0.000
3 Cl 0.379 0.991 0.242
4 Cl 0.621 0.009 0.758

**Formation energy without anion corrections**: -1.909 eV/atom
**Symmetry**: C2/m
**Total magnetization**: 0.000 μB/atom

3.
Compound: ScBr3Cl
Source: Alexandria via LeMat-Bulk
Functional: PBE
Structure: relaxed

abc: 5.418 5.418 5.418
angles: 90.00 90.00 90.00
Sites, in units of the cell vectors:
1 Sc 0.500 0.500 0.500
2 Br 0.000 0.500 0.000
3 Br 0.000 0.000 0.500
4 Br 0.500 0.000 0.000
5 Cl 0.000 0.000 0.000

**Formation energy without anion corrections**: 0.212 eV/atom
**Symmetry**: Pm-3m
**Total magnetization**: 0.412 μB/atom

4.
Compound: ScBr2Cl
Source: Alexandria via LeMat-Bulk
Functional: PBE
Structure: relaxed

abc: 3.464 7.043 7.043
angles: 59.54 75.78 75.78
Sites, in units of the cell vectors:
1 Sc 0.750 0.883 0.617
2 Br 0.100 0.885 0.915
3 Br 0.400 0.585 0.615
4 Cl 0.250 0.147 0.353

**Formation energy without anion corrections**: -1.772 eV/atom
**Symmetry**: Imm2
**Total magnetization**: 0.000 μB/atom

5.
Compound: ScBr2Cl
Source: Alexandria via LeMat-Bulk
Functional: PBE
Structure: relaxed

abc: 8.330 8.330 8.330
angles: 26.83 26.83 26.83
Sites, in units of the cell vectors:
1 Br 0.019 0.019 0.019
2 Br 0.481 0.481 0.481
3 Cl 0.250 0.250 0.250
4 Sc 0.750 0.750 0.750

**Formation energy without anion corrections**: -1.141 eV/atom
**Symmetry**: R-3m
**Total magnetization**: 0.057 μB/atom

6.
Compound: ScBrCl2
Source: Alexandria via LeMat-Bulk
Functional: PBE
Structure: relaxed

abc: 3.670 3.670 7.967
angles: 90.00 90.00 90.00
Sites, in units of the cell vectors:
1 Sc 0.000 0.000 0.412
2 Br 0.500 0.500 0.673
3 Cl 0.000 0.000 0.117
4 Cl 0.500 0.500 0.299

**Formation energy without anion corrections**: -1.262 eV/atom
**Symmetry**: P4mm
**Total magnetization**: 0.000 μB/atom

7.
Compound: ScBr2Cl
Source: Alexandria via LeMat-Bulk
Functional: PBE
Structure: relaxed

abc: 6.876 6.876 7.129
angles: 61.03 61.03 29.18
Sites, in units of the cell vectors:
1 Sc 0.246 0.246 0.375
2 Br 0.899 0.899 0.087
3 Br 0.750 0.750 0.658
4 Cl 0.606 0.606 0.380

**Formation energy without anion corrections**: -1.772 eV/atom
**Symmetry**: Cm
**Total magnetization**: 0.000 μB/atom

8.
Compound: ScBrCl2
Source: Alexandria via LeMat-Bulk
Functional: PBE
Structure: relaxed

abc: 7.118 7.118 7.118
angles: 152.14 135.23 53.56
Sites, in units of the cell vectors:
1 Sc 0.750 0.250 0.500
2 Br 0.250 0.750 0.500
3 Cl 0.894 0.894 0.000
4 Cl 0.606 0.606 0.000

**Formation energy without anion corrections**: -1.634 eV/atom
**Symmetry**: Immm
**Total magnetization**: 0.000 μB/atom

9.
Compound: Sc2BrCl2
Source: Alexandria via LeMat-Bulk
Functional: PBE
Structure: relaxed

abc: 4.542 4.542 6.600
angles: 69.88 69.88 90.00
Sites, in units of the cell vectors:
1 Sc 0.373 0.373 0.255
2 Sc 0.627 0.627 0.745
3 Br 0.000 0.000 0.000
4 Cl 0.750 0.250 0.500
5 Cl 0.250 0.750 0.500

**Formation energy without anion corrections**: -1.118 eV/atom
**Symmetry**: I4/mmm
**Total magnetization**: 0.106 μB/atom

10.
Compound: ScBrCl2
Source: Alexandria via LeMat-Bulk
Functional: PBE
Structure: relaxed

abc: 5.059 5.571 4.013
angles: 71.68 84.20 114.69
Sites, in units of the cell vectors:
1 Sc 0.000 0.500 0.500
2 Br 0.500 0.500 0.000
3 Cl 0.000 0.000 0.000
4 Cl 0.500 0.000 0.500

**Formation energy without anion corrections**: -0.741 eV/atom
**Symmetry**: C2/m
**Total magnetization**: 0.090 μB/atom

11.
Compound: Sc2BrCl3
Source: Alexandria via LeMat-Bulk
Functional: PBE
Structure: relaxed

abc: 3.625 7.884 11.852
angles: 75.67 81.20 76.71
Sites, in units of the cell vectors:
1 Sc 0.255 0.622 0.868
2 Sc 0.745 0.378 0.132
3 Sc 0.754 0.867 0.624
4 Sc 0.246 0.133 0.376
5 Br 0.881 0.512 0.726
6 Br 0.119 0.488 0.274
7 Cl 0.145 0.951 0.760
8 Cl 0.855 0.049 0.240
9 Cl 0.355 0.296 0.993
10 Cl 0.645 0.704 0.007
11 Cl 0.640 0.202 0.518
12 Cl 0.360 0.798 0.482

**Formation energy without anion corrections**: -1.788 eV/atom
**Symmetry**: C2/m
**Total magnetization**: 0.000 μB/atom

12.
Compound: ScBrCl2
Source: Alexandria via LeMat-Bulk
Functional: PBE
Structure: relaxed

abc: 5.157 5.157 5.157
angles: 127.88 127.88 76.82
Sites, in units of the cell vectors:
1 Sc 0.250 0.750 0.500
2 Br 0.750 0.250 0.500
3 Cl 0.000 0.000 0.000
4 Cl 0.500 0.500 0.000

**Formation energy without anion corrections**: -1.002 eV/atom
**Symmetry**: I4/mmm
**Total magnetization**: 0.000 μB/atom

no.,VASP energy (eV per atom)
1,-4.913
2,-4.833
3,-2.428
4,-4.653
5,-4.022
6,-4.187
7,-4.653
8,-4.558
9,-4.724
10,-3.666
11,-5.101
12,-3.927